Compound: SiSb2Os
Source: the Alexandria database
Functional: GGA-PBE
Structure: relaxed

Cell lengths 6.6273, 4.9663, 3.2385 Å; angles 82.88, 72.37, 124.64 degrees
Closest atoms and distances in Å follow each position.
Element x y z (fractional)
Os  0.5000  0.5000  0.0000  4 Sb 2.79
Sb  0.0000  0.0000  0.0000  2 Si 2.79, 2 Os 2.79
Sb  0.5000  0.0000  0.5000  2 Os 2.79, 2 Si 2.79
Si  0.0000  0.5000  0.5000  4 Sb 2.79

D(E_F)   0.617 states/eV/atom
Raw total energy   -22.08 eV per formula unit
Raw formation energy   0.705 eV per atom

---

Compound: TaPtCl2
Source: the Alexandria database
Functional: GGA-PBE
Structure: relaxed

Cell lengths 5.2161, 5.3753, 3.0583 Å; angles 70.67, 95.50, 120.83 degrees
Closest atoms and distances in Å follow each position.
Element x y z (fractional)
Cl  0.0000  0.0000  0.0000  2 Ta 2.62, 2 Pt 2.62, 2 Cl 2.89
Cl  0.5000  0.0000  0.5000  2 Pt 2.62, 2 Ta 2.62, 2 Cl 2.89
Pt  0.0000  0.5000  0.5000  4 Cl 2.62, 2 Ta 2.89
Ta  0.5000  0.5000  0.0000  4 Cl 2.62, 2 Pt 2.89

D(E_F)   0.706 states/eV/atom
Raw total energy   -20.81 eV per formula unit
Raw formation energy   0.193 eV per atom

---

Compound: YCdP
Source: the Alexandria database
Functional: GGA-PBE
Structure: relaxed

Cell lengths 7.4184, 7.4184, 4.0187 Å; angles 90.00, 90.00, 120.00 degrees
Closest atoms and distances in Å follow each position.
Element x y z (fractional)
Y  0.0000  0.3899  0.5000  5 P 2.89-3.05
Y  0.6101  0.6101  0.5000  5 P 2.89-3.05
Y  0.3899  0.0000  0.5000  5 P 2.89-3.05
Cd  0.0000  0.7419  0.0000  4 P 2.78-2.79
Cd  0.2581  0.2581  0.0000  4 P 2.78-2.79
Cd  0.7419  0.0000  0.0000  4 P 2.78-2.79
P  0.6667  0.3333  0.0000  3 Cd 2.79, 6 Y 3.05
P  0.3333  0.6667  0.0000  3 Cd 2.79, 6 Y 3.05
P  0.0000  0.0000  0.5000  6 Cd 2.78, 3 Y 2.89

D(E_F)   0.429 states/eV/atom
ΔE_f   -0.602 eV per atom
Raw total energy   -14.60 eV per formula unit

---

Compound: Sc3Co9SiB2
Source: the Alexandria database
Functional: GGA-PBE
Structure: relaxed

Cell lengths 5.5896, 5.5896, 6.8757 Å; angles 90.00, 90.00, 120.00 degrees
Closest atoms and distances in Å follow each position.
Element x y z (fractional)
Sc  0.3333  0.6667  0.6644  12 Co 2.80-2.83
Sc  0.0000  0.0000  0.0000  12 Co 2.77-2.79
Sc  0.6667  0.3333  0.3356  12 Co 2.80-2.83
Co  0.8223  0.1777  0.6837  1 B 1.91, 1 Si 2.13
Co  0.8223  0.6446  0.6837  1 B 1.91, 1 Si 2.13
Co  0.3554  0.1777  0.6837  1 B 1.91, 1 Si 2.13
Co  0.6446  0.8223  0.3163  1 B 1.91, 1 Si 2.13
Co  0.1777  0.3554  0.3163  1 B 1.91, 1 Si 2.13
Co  0.1777  0.8223  0.3163  1 B 1.91, 1 Si 2.13
Co  0.5000  0.0000  0.0000  2 B 1.90
Co  0.0000  0.5000  0.0000  2 B 1.90
Co  0.5000  0.5000  0.0000  2 B 1.90
Si  0.0000  0.0000  0.5000  6 Co 2.13
B  0.3333  0.6667  0.1463  6 Co 1.90-1.91
B  0.6667  0.3333  0.8537  6 Co 1.90-1.91

D(E_F)   0.500 states/eV/atom
Raw total energy   -106.06 eV per formula unit
Raw formation energy   -0.289 eV per atom

---

Compound: CaLa2As
Source: the Alexandria database
Functional: GGA-PBE
Structure: relaxed

Cell lengths 6.2790, 6.2790, 6.2790 Å; angles 135.89, 135.89, 64.14 degrees
Closest atoms and distances in Å follow each position.
Element x y z (fractional)
As  0.2500  0.7500  0.5000  4 Ca 3.33, 8 La 3.55
Ca  0.7500  0.2500  0.5000  4 As 3.33, 8 La 3.55
La  0.0000  0.0000  0.0000  4 La 3.33, 4 As 3.55, 4 Ca 3.55
La  0.5000  0.5000  0.0000  4 La 3.33, 4 As 3.55, 4 Ca 3.55

D(E_F)   1.268 states/eV/atom
ΔE_f   -0.407 eV per atom
Raw total energy   -18.13 eV per formula unit

---

Number 1: mass density 9.91 g/cm3. Number 2: mass density 10.73 g/cm3. Number 3: mass density 6.04 g/cm3. Number 4: mass density 6.38 g/cm3. Number 5: mass density 5.51 g/cm3.